# 1
DFT (PBE-GGA) results for a geometry-optimized MnSb2Cl structure.

The value obtained for the total magnetic moment is 0.6963 μB per atom. As for the crystal system: monoclinic. The energy above the most stable polymorph in this dataset is 41 kJ/mol of formula units. The calculated total energy is -4.91 eV/atom. The calculation puts the raw formation energy at -0.37 eV/f.u.

The structure belongs to space group C2/m (No. 12); the cell edges are 7.8408, 3.5154 and 8.3387 Å and the angles 90.00°, 107.15° and 90.00°. The inequivalent atoms are Mn at (0.0000, 0.0000, 0.0000), Sb at (0.1443, 0.5000, 0.8324) and Cl at (0.0000, 0.5000, 0.5000).



# 2
DFT (PBE-GGA) results for a geometry-optimized LaSbTe structure.

The value obtained for the total magnetic moment is 0.0000 μB per atom. As for the crystal system: trigonal. The calculated total energy is -4.58 eV/atom. The calculation puts the raw formation energy at -1.55 eV/f.u.

The structure belongs to space group P3m1 (No. 156); the cell edges are 4.2076, 4.2076 and 7.0463 Å and the angles 90.00°, 90.00° and 120.00°. The inequivalent atoms are La at (0.0000, 0.0000, 0.0000), Sb at (0.6667, 0.3333, 0.3326) and Te at (0.3333, 0.6667, 0.7129).



> Which formula does entry 2 have?

LaSbTe



> What is the formula in the first record?

MnSb2Cl



> calculated total energy of number 2 (LaSbTe)?

-4.58 eV/atom



> The lowest raw formation energy belongs to which entry?

LaSbTe